Entry 1:
# CaNdTlSn

An optimized crystal structure of CaNdTlSn (PBE, the Alexandria database).

Cell lengths 7.7719, 7.7719, 7.7719 Å; angles 90.00, 90.00, 90.00 degrees
Space group F-43m (No. 216)
Asymmetric unit:
Ca (0.0000, 0.0000, 0.0000) [4 per cell]
Nd (0.0000, 0.0000, 0.5000) [4 per cell]
Tl (0.2500, 0.2500, 0.2500) [4 per cell]
Sn (0.2500, 0.2500, 0.7500) [4 per cell]

Offset from the most stable computed form = 0.036 eV per atom
ΔE_f = -0.503 eV per atom
Total energy = -60.6 eV per cell

Entry 2:
# Ca2NdZn2Sn2

An optimized crystal structure of Ca2NdZn2Sn2 (PBE, the Alexandria database).

Cell lengths 4.5267, 4.5267, 34.5017 Å; angles 90.00, 90.00, 120.00 degrees
Space group R-3m (No. 166, hexagonal axes)
Asymmetric unit:
Ca (0.0000, 0.0000, 0.1214) [6 per cell]
Nd (0.0000, 0.0000, 0.0000) [3 per cell]
Zn (0.0000, 0.0000, 0.3836) [6 per cell]
Sn (0.0000, 0.0000, 0.2686) [6 per cell]

ΔE_f = -0.433 eV per atom
Total energy = -67.1 eV per cell

Entry 3:
# Sr3Ca12Nd

An optimized crystal structure of Sr3Ca12Nd (PBE, the Alexandria database).

Cell lengths 5.6769, 5.6769, 21.6645 Å; angles 90.00, 90.00, 90.00 degrees
Space group P4/mmm (No. 123)
Asymmetric unit:
Sr (0.0000, 0.0000, 0.0000) [1 per cell]
Sr (0.0000, 0.0000, 0.2588) [2 per cell]
Ca (0.0000, 0.5000, 0.1290) [4 per cell]
Ca (0.0000, 0.5000, 0.3857) [4 per cell]
Ca (0.5000, 0.5000, 0.0000) [1 per cell]
Ca (0.5000, 0.5000, 0.2566) [2 per cell]
Ca (0.5000, 0.5000, 0.5000) [1 per cell]
Nd (0.0000, 0.0000, 0.5000) [1 per cell]

ΔE_f = 0.036 eV per atom
Total energy = -33.3 eV per cell

Entry 4:
# Sr2Ca4Nd

An optimized crystal structure of Sr2Ca4Nd (PBE, the Alexandria database).

Cell lengths 6.8293, 3.9482, 22.7907 Å; angles 90.00, 90.13, 90.00 degrees
Space group Cm (No. 8)
Asymmetric unit:
Sr (0.0000, 0.0000, 0.0000) [2 per cell]
Sr (0.0028, 0.0000, 0.7019) [2 per cell]
Ca (0.1664, 0.5000, 0.1482) [2 per cell]
Ca (0.1664, 0.5000, 0.8510) [2 per cell]
Ca (0.3344, 0.0000, 0.2881) [2 per cell]
Ca (0.3374, 0.0000, 0.5528) [2 per cell]
Nd (0.0022, 0.0000, 0.4206) [2 per cell]

ΔE_f = 0.053 eV per atom
Total energy = -31.5 eV per cell

Q: What is the formula in the second record?
A: Ca2NdZn2Sn2